Entry 1:
! P2WO7, single point on PBEsol structure, DFT SCAN; values from VASP
&SYSTEM
  ibrav = 0, nat = 40, ntyp = 3
/
ATOMIC_SPECIES
P 30.97 P.upf
W 183.84 W.upf
O 16.00 O.upf
CELL_PARAMETERS angstrom
-5.7402 -5.8256 -1.4103
5.4992 -4.3418 -4.4479
2.3844 -4.0110 6.8632
ATOMIC_POSITIONS angstrom
P 0.8357 -5.5285 0.3919
P 4.8450 -6.8595 3.2390
P -3.0485 -8.1092 2.4424
P 1.6544 -7.8594 -4.0633
P 1.3076 -8.6498 0.6131
P -2.7017 -7.3188 -2.2340
P 5.1918 -6.0691 -1.4374
P 0.4889 -6.3189 5.0682
W 0.0000 0.0000 0.0000
W -1.6779 -4.9183 2.7264
W -0.1205 -5.0837 -2.9291
W 3.9418 -4.1764 1.2076
O 1.0717 -7.0892 0.5025
O 2.7496 -2.1709 -2.2240
O 1.1922 -2.0055 3.4316
O -2.8701 -2.9128 -0.7052
O 1.4582 -5.4053 5.7832
O -4.0104 -6.7637 -1.7197
O 5.2151 -5.4467 -2.8149
O -0.3579 -5.5560 4.0752
O 1.2054 -7.4751 4.4084
O -2.1576 -8.3892 -1.3154
O 2.4905 -8.9933 -0.2634
O 4.6011 -5.1246 -0.4155
O 1.5871 -8.9649 2.0650
O -1.6883 -6.2204 -2.4618
O 0.0482 -9.3344 0.1328
O 4.4685 -7.3966 -1.4443
O 0.6852 -8.7731 -4.7782
O 6.1537 -7.4147 2.7247
O -3.0718 -8.7316 3.8199
O 2.5013 -8.6224 -3.0703
O 0.9379 -6.7033 -3.4035
O 4.3010 -5.7892 2.3204
O -0.3472 -5.1851 1.2683
O -2.4578 -9.0538 1.4204
O 0.5562 -5.2135 -1.0600
O 3.8316 -7.9580 3.4668
O 2.0951 -4.8439 0.8721
O -2.3252 -6.7817 2.4492
! Relative energy among the computed polymorphs, meV/atom: 25


Entry 2:
! P3W2O13, single point on PBEsol structure, DFT SCAN; values from VASP
&SYSTEM
  ibrav = 0, nat = 72, ntyp = 3
/
ATOMIC_SPECIES
P 30.97 P.upf
W 183.84 W.upf
O 16.00 O.upf
CELL_PARAMETERS angstrom
6.3493 -0.0284 0.0000
-2.8020 9.3868 0.0000
0.0000 0.0000 19.0458
ATOMIC_POSITIONS angstrom
P -0.5329 9.0360 12.8677
P 2.6417 9.0218 15.7009
P -0.5058 6.6202 17.3182
P 1.1567 6.5036 0.6434
P 2.6689 6.6060 11.2504
P 4.3314 6.4894 8.8795
P -0.7841 2.8690 10.1663
P 0.8784 2.7524 7.7954
P 2.3906 2.8548 18.4024
P 4.0531 2.7381 1.7275
P 0.9056 0.3366 3.3449
P 4.0802 0.3223 6.1780
W -1.8931 8.7621 6.4592
W 1.2816 8.7479 3.0637
W -0.5554 5.7575 11.9364
W 2.6192 5.7433 16.6323
W 0.9281 3.6150 2.4135
W 4.1027 3.6008 7.1094
W 2.2657 0.6105 15.9820
W 5.4404 0.5963 12.5866
O -0.6658 8.9308 2.8986
O -0.5430 8.7811 14.3889
O 0.0595 8.8842 6.5993
O -1.8984 7.9111 8.2509
O -0.5753 8.0830 16.9757
O 2.5088 8.9166 6.6242
O 2.6316 8.7669 14.1797
O -0.5057 7.6970 12.1286
O -1.9217 7.3485 5.5160
O 3.2342 8.8700 2.9236
O 1.2762 7.8968 1.2720
O 2.5994 8.0688 11.5929
O 2.6690 7.6828 16.4401
O 1.2529 7.3343 4.0069
O -0.2416 6.4921 18.8999
O -0.8977 6.2228 9.8412
O 2.9330 6.4779 9.6687
O 0.6300 5.8545 16.6223
O 2.2770 6.2086 18.7274
O 1.3629 5.8392 11.4618
O -0.4222 5.3667 13.5833
O 0.9861 5.4736 1.7572
O 3.8046 5.8403 11.9464
O 4.5376 5.8250 17.1069
O 2.7525 5.3525 14.9854
O 4.1608 5.4594 7.7657
O -0.6135 3.8989 11.2801
O 0.7949 4.0059 4.0604
O -0.9903 3.5333 1.9389
O -0.2573 3.5180 7.0994
O 2.5612 3.8847 17.2886
O 3.9695 3.9917 5.4625
O 2.1844 3.5191 7.5840
O 1.2703 3.1498 0.3183
O 2.9173 3.5038 2.4235
O 0.6143 2.8805 9.3770
O 4.4450 3.1356 9.2046
O 3.7889 2.8663 0.1458
O 2.2944 2.0241 15.0388
O 0.8783 1.6756 2.6057
O 0.9479 1.2896 7.4528
O 2.2711 1.4615 17.7738
O 0.3131 0.4884 16.1221
O 5.4690 2.0099 13.5298
O 4.0530 1.6614 6.9172
O 0.9157 0.5915 4.8660
O 1.0385 0.4417 12.4215
O 4.1226 1.2754 2.0701
O 5.4457 1.4473 10.7948
O 3.4878 0.4742 12.4465
O 4.0903 0.5773 4.6568
O 4.2131 0.4275 16.1471
! Relative energy among the computed polymorphs, meV/atom: 2


Entry 3:
A crystal of P2W2O9 relaxed with PBEsol. Source: Alexandria, functional SCAN. Values from VASP.

The structure in Quantum ESPRESSO input format:
```
&SYSTEM
  ibrav = 0, nat = 52, ntyp = 3
/
ATOMIC_SPECIES
P 30.97 P.upf
W 183.84 W.upf
O 16.00 O.upf
CELL_PARAMETERS angstrom
6.4231 0.0000 0.0000
0.0000 7.8408 0.0000
0.0000 0.0000 14.3137
ATOMIC_POSITIONS angstrom
P 4.8174 6.6965 6.2925
P 1.6058 1.1443 8.0212
P 1.6058 2.7761 0.8644
P 4.8174 5.0647 13.4493
P 1.6058 7.0910 2.7536
P 1.6058 4.6703 9.9104
P 4.8174 3.1705 4.4032
P 4.8174 0.7499 11.5601
W 1.6058 6.6797 5.3813
W 4.8174 1.1612 8.9323
W 4.8174 2.7593 1.7755
W 1.6058 5.0816 12.5381
W 0.0000 3.9204 7.1568
W 0.0000 0.0000 0.0000
W 3.2116 0.0000 0.0000
W 3.2116 3.9204 7.1568
O 3.5680 0.6384 12.4583
O 0.3564 7.2025 1.8553
O 2.8551 4.5588 9.0122
O 6.0667 3.2821 5.3015
O 2.8551 7.2025 1.8553
O 6.0667 0.6384 12.4583
O 3.5680 3.2821 5.3015
O 0.3564 4.5588 9.0122
O 4.8174 6.4840 14.1744
O 1.6058 1.3568 0.1393
O 1.6058 2.5636 7.2961
O 4.8174 5.2772 7.0176
O 1.6058 5.0097 6.4343
O 4.8174 2.8311 7.8794
O 4.8174 1.0893 0.7225
O 1.6058 6.7516 13.5911
O 1.6058 5.7593 3.5757
O 4.8174 2.0816 10.7380
O 4.8174 1.8389 3.5812
O 1.6058 6.0020 10.7325
O 6.0522 5.0187 12.5687
O 2.8406 2.8222 1.7449
O 0.3710 1.0983 8.9018
O 3.5826 6.7426 5.4119
O 0.3710 2.8222 1.7449
O 3.5826 5.0187 12.5687
O 6.0522 6.7426 5.4119
O 2.8406 1.0983 8.9018
O 1.6058 0.0568 6.9619
O 4.8174 4.2039 3.2379
O 4.8174 7.5573 10.3947
O 1.6058 0.2835 3.9189
O 1.6058 3.8637 14.1188
O 4.8174 3.9772 0.1949
O 4.8174 7.7841 7.3517
O 1.6058 3.6369 11.0757
```


Entry 4:
A crystal of PWO2 relaxed with PBEsol. Source: Alexandria, functional SCAN. Values from VASP.

The structure in Quantum ESPRESSO input format:
```
&SYSTEM
  ibrav = 0, nat = 4, ntyp = 3
/
ATOMIC_SPECIES
P 30.97 P.upf
O 16.00 O.upf
W 183.84 W.upf
CELL_PARAMETERS angstrom
-1.2547 -1.4699 1.9550
1.4356 -1.8027 1.4988
1.4117 3.7030 5.6227
ATOMIC_POSITIONS angstrom
P 0.0000 0.0000 0.0000
O 0.5727 -1.8827 4.7502
O 1.0199 2.3131 4.3263
W 0.7963 0.2152 4.5383
```


no.,N(E_F) (states/eV/f.u.),V (A^3/atom),formation energy from raw total energies (eV per formula unit)
1,0.7,14.29,-21.85
2,3.4,15.74,-41.05
3,0.6,13.86,-26.41
4,1.0,10.95,-3.81